Entry 1:
Compound: DyY2TmO6
Source: Alexandria
Functional: PBE
Structure: relaxed

Computed properties:
DFT total energy = -8.7161 eV/atom
Calculated volume = 146.85 Å³/cell
Formation energy from raw total energies = -3.541 eV/atom

Cell: 6.0588 6.0588 6.0588 Å, 57.13 57.13 57.13°
Element x y z (fractional)
1 Dy 0.0000 0.0000 0.0000
2 Y 0.2821 0.2821 0.2821
3 Y 0.7832 0.7832 0.7832
4 Tm 0.4979 0.4979 0.4979
5 O 0.1036 0.6850 0.3896
6 O 0.1911 0.6007 0.8837
7 O 0.3896 0.1036 0.6850
8 O 0.6007 0.8837 0.1911
9 O 0.6850 0.3896 0.1036
10 O 0.8837 0.1911 0.6007

***

Entry 2:
Compound: Dy3UO7
Source: Alexandria
Functional: PBE
Structure: relaxed

Computed properties:
DFT total energy = -8.9322 eV/atom
Calculated volume = 314.83 Å³/cell
Formation energy from raw total energies = -3.496 eV/atom

Cell: 6.5905 6.5905 7.7015 Å, 90.00 90.00 109.75°
Element x y z (fractional)
1 Dy 0.0000 0.0000 0.0000
2 Dy 0.0000 0.0000 0.5000
3 Dy 0.0310 0.5052 0.7500
4 Dy 0.4948 0.9690 0.7500
5 Dy 0.5052 0.0310 0.2500
6 Dy 0.9690 0.4948 0.2500
7 U 0.5000 0.5000 0.0000
8 U 0.5000 0.5000 0.5000
9 O 0.1335 0.8665 0.7500
10 O 0.1336 0.8664 0.2500
11 O 0.1633 0.4139 0.0303
12 O 0.1633 0.4139 0.4697
13 O 0.4042 0.5958 0.7500
14 O 0.4139 0.1633 0.5303
15 O 0.4139 0.1633 0.9697
16 O 0.5861 0.8367 0.0303
17 O 0.5861 0.8367 0.4697
18 O 0.5958 0.4042 0.2500
19 O 0.8367 0.5861 0.5303
20 O 0.8367 0.5861 0.9697
21 O 0.8664 0.1336 0.7500
22 O 0.8665 0.1335 0.2500